DFT (GGA+U) results for a relaxed structure of SrCoNF2.

magnetization	2.82	μB/f.u.
relative energy among the computed polymorphs	1.125	eV per atom

Cell and atoms, written as extended XYZ:
```
5
Lattice="-0.791 2.935 -3.362 -3.546 1.659 2.283 3.083 3.446 2.283" Properties=species:S:1:pos:R:3 pbc="T T T"
F -0.396 1.467 -1.681
F -1.773 0.830 1.142
Co -0.627 4.020 0.602
N 1.541 1.723 1.141
Sr 0.000 0.000 0.000
```